[1]
# TlSIN2 (GGA-PBE, relaxed)
data_TlSIN2
_chemical_formula_sum 'Tl1 S1 I1 N2'
_symmetry_space_group_name_H-M 'P 4/m m m'
_symmetry_Int_Tables_number 123
_symmetry_space_group_name_Hall '-P 4 2'
_cell_length_a 4.0961
_cell_length_b 4.0961
_cell_length_c 5.6338
_cell_angle_alpha 90.00
_cell_angle_beta 90.00
_cell_angle_gamma 90.00
loop_
_atom_site_label
_atom_site_fract_x
_atom_site_fract_y
_atom_site_fract_z
Tl1 0.0000 0.0000 0.0000
S1 0.5000 0.5000 0.0000
I1 0.5000 0.5000 0.5000
N1 0.0000 0.5000 0.5000
# - formation energy without anion corrections (eV/atom) = 1.58
# - D(E_F) (states/eV per cell) = 3.69
# - distance to the lowest polymorph of the same formula (meV/atom) = 0.0
# - raw total energy (eV/atom) = -3.359

[2]
# TlTeIr2 (GGA-PBE, relaxed)
data_TlTeIr2
_chemical_formula_sum 'Tl2 Te2 Ir4'
_symmetry_space_group_name_H-M 'C 1 2/m 1'
_symmetry_Int_Tables_number 12
_cell_length_a 9.0167
_cell_length_b 3.0511
_cell_length_c 8.1809
_cell_angle_alpha 90.00
_cell_angle_beta 123.26
_cell_angle_gamma 90.00
loop_
_symmetry_equiv_pos_as_xyz
'x,y,z'
'-x,-y,-z'
'-x,y,-z'
'x,-y,z'
'x+1/2,y+1/2,z'
'-x+1/2,-y+1/2,-z'
'-x+1/2,y+1/2,-z'
'x+1/2,-y+1/2,z'
loop_
_atom_site_label
_atom_site_fract_x
_atom_site_fract_y
_atom_site_fract_z
Tl1 0.0000 0.0000 0.0000
Te1 0.0000 0.0000 0.5000
Ir1 0.1467 0.5000 0.3362
# - formation energy without anion corrections (eV/atom) = 0.41
# - D(E_F) (states/eV per cell) = 5.48
# - distance to the lowest polymorph of the same formula (meV/atom) = 27.4
# - raw total energy (eV/atom) = -5.396

[3]
# UGaI4 (GGA-PBE, relaxed)
data_UGaI4
_chemical_formula_sum 'U4 Ga4 I16'
_symmetry_space_group_name_H-M 'C 1 2/c 1'
_symmetry_Int_Tables_number 15
_cell_length_a 20.4780
_cell_length_b 4.5722
_cell_length_c 15.2737
_cell_angle_alpha 90.00
_cell_angle_beta 127.05
_cell_angle_gamma 90.00
loop_
_symmetry_equiv_pos_as_xyz
'x,y,z'
'-x,-y,-z'
'-x,y,-z+1/2'
'x,-y,z+1/2'
'x+1/2,y+1/2,z'
'-x+1/2,-y+1/2,-z'
'-x+1/2,y+1/2,-z+1/2'
'x+1/2,-y+1/2,z+1/2'
loop_
_atom_site_label
_atom_site_fract_x
_atom_site_fract_y
_atom_site_fract_z
U1 0.2500 0.2500 0.0000
Ga1 0.0000 0.2490 0.2500
I1 0.0780 0.2515 0.9434
I2 0.1904 0.2502 0.3229
# - formation energy without anion corrections (eV/atom) = -0.65
# - D(E_F) (states/eV per cell) = 10.03
# - raw total energy (eV/atom) = -4.070

[4]
# HgTeCl2 (GGA-PBE, relaxed)
data_HgTeCl2
_chemical_formula_sum 'Hg1 Te1 Cl2'
_symmetry_space_group_name_H-M 'P m m m'
_symmetry_Int_Tables_number 47
_cell_length_a 3.4864
_cell_length_b 4.6069
_cell_length_c 6.2919
_cell_angle_alpha 90.00
_cell_angle_beta 90.00
_cell_angle_gamma 90.00
loop_
_symmetry_equiv_pos_as_xyz
'x,y,z'
'-x,-y,-z'
'-x,-y,z'
'x,y,-z'
'x,-y,-z'
'-x,y,z'
'-x,y,-z'
'x,-y,z'
loop_
_atom_site_label
_atom_site_fract_x
_atom_site_fract_y
_atom_site_fract_z
Hg1 0.0000 0.0000 0.0000
Te1 0.5000 0.0000 0.5000
Cl1 0.0000 0.5000 0.5000
Cl2 0.5000 0.5000 0.0000
# - formation energy without anion corrections (eV/atom) = -0.05
# - D(E_F) (states/eV per cell) = 1.19
# - distance to the lowest polymorph of the same formula (meV/atom) = 283.4
# - raw total energy (eV/atom) = -1.831

[5]
# CaFeMo2 (GGA-PBE, relaxed)
data_CaFeMo2
_chemical_formula_sum 'Ca2 Fe2 Mo4'
_symmetry_space_group_name_H-M 'C m m m'
_symmetry_Int_Tables_number 65
_symmetry_space_group_name_Hall '-C 2 2'
_cell_length_a 3.6639
_cell_length_b 4.2548
_cell_length_c 8.7991
_cell_angle_alpha 90.00
_cell_angle_beta 90.00
_cell_angle_gamma 90.00
loop_
_atom_site_label
_atom_site_fract_x
_atom_site_fract_y
_atom_site_fract_z
Ca1 0.0000 0.0000 0.0000
Fe1 0.0000 0.0000 0.5000
Mo1 0.0000 0.5000 0.3060
# - D(E_F) (states/eV per cell) = 11.16
# - distance to the lowest polymorph of the same formula (meV/atom) = 77.8
# - ΔE_f (eV per atom) = 0.597
# - raw total energy (eV/atom) = -7.435

M_tot: 0.00, 0.00, 12.00, 0.00, 2.53 (μB/cell)